Model A:
Y2Ag2Pd3: relaxed, GGA-PBE.

Lattice parameters (Å, degrees): 5.282 5.282 7.578 78.64 115.52 131.66
Fractional positions:
Y  0.843  0.372  0.215
Y  0.157  0.628  0.785
Ag  0.308  0.123  0.431
Ag  0.692  0.877  0.569
Pd  0.000  0.000  0.000
Pd  0.466  0.335  0.800
Pd  0.534  0.665  0.200

***

Model B:
Y2Ag2Pd3: relaxed, GGA-PBE.

Lattice parameters (Å, degrees): 4.196 6.838 5.220 96.33 113.69 90.00
Fractional positions:
Y  0.420  0.249  0.840
Y  0.580  0.751  0.160
Ag  0.142  0.424  0.285
Ag  0.858  0.576  0.715
Pd  0.000  0.000  0.000
Pd  0.287  0.854  0.574
Pd  0.713  0.146  0.426

***

Result of the stability comparison: model B is the most stable of them.

***

Model A:
Yb2AgPd: relaxed, GGA-PBE.

Lattice parameters (Å, degrees): 5.071 5.071 5.071 60.00 60.00 60.00
Site moments in Bohr magnetons follow the coordinates.
Fractional positions:
Yb  0.250  0.250  0.250  0.24
Yb  0.750  0.750  0.750  0.24
Pd  0.000  0.000  0.000  0.00
Ag  0.500  0.500  0.500  0.00

***

Model B:
Yb2AgPd: relaxed, GGA-PBE.

Lattice parameters (Å, degrees): 3.554 3.554 7.275 90.00 90.00 90.00
Site moments in Bohr magnetons follow the coordinates.
Fractional positions:
Yb  0.500  0.500  0.266  0.22
Yb  0.500  0.500  0.734  0.22
Pd  0.000  0.000  0.500  0.00
Ag  0.000  0.000  0.000  -0.01

***

Result of the stability comparison: model B is the most stable of them.

***

Model A:
ZnAg2Pd2: relaxed, GGA-PBE.

Lattice parameters (Å, degrees): 2.947 2.947 9.407 99.01 99.01 90.00
Fractional positions:
Zn  0.000  0.000  0.000
Ag  0.806  0.806  0.611
Ag  0.194  0.194  0.389
Pd  0.587  0.587  0.174
Pd  0.413  0.413  0.826

***

Model B:
ZnAg2Pd2: relaxed, GGA-PBE.

Lattice parameters (Å, degrees): 6.484 6.484 4.175 90.00 90.00 90.00
Fractional positions:
Zn  0.000  0.000  0.000
Zn  0.500  0.500  0.000
Pd  0.356  0.856  0.000
Pd  0.856  0.644  0.000
Pd  0.644  0.144  0.000
Pd  0.144  0.356  0.000
Ag  0.160  0.660  0.500
Ag  0.660  0.840  0.500
Ag  0.840  0.340  0.500
Ag  0.340  0.160  0.500

***

Model C:
ZnAg2Pd2: relaxed, GGA-PBE.

Lattice parameters (Å, degrees): 7.374 7.374 3.241 90.00 90.00 90.00
Fractional positions:
Zn  0.000  0.000  0.000
Zn  0.500  0.500  0.000
Pd  0.160  0.660  0.500
Pd  0.660  0.840  0.500
Pd  0.840  0.340  0.500
Pd  0.340  0.160  0.500
Ag  0.361  0.861  0.000
Ag  0.861  0.639  0.000
Ag  0.639  0.139  0.000
Ag  0.139  0.361  0.000

***

Result of the stability comparison: model A is the most stable of them.

***

Model A:
Zn2AgPd8: relaxed, GGA-PBE.

Lattice parameters (Å, degrees): 4.110 6.957 7.277 118.56 106.40 90.00
Fractional positions:
Zn  0.195  0.695  0.390
Zn  0.805  0.305  0.610
Ag  0.500  0.000  0.000
Pd  0.659  0.877  0.318
Pd  0.341  0.559  0.682
Pd  0.153  0.153  0.305
Pd  0.000  0.305  0.000
Pd  0.847  0.847  0.695
Pd  0.659  0.441  0.318
Pd  0.341  0.123  0.682
Pd  0.000  0.695  0.000

***

Model B:
Zn2AgPd8: relaxed, GGA-PBE.

Lattice parameters (Å, degrees): 3.996 6.336 7.263 107.24 105.97 90.00
Fractional positions:
Zn  0.775  0.352  0.550
Zn  0.225  0.648  0.450
Ag  0.500  0.000  0.000
Pd  0.401  0.535  0.802
Pd  0.682  0.917  0.364
Pd  0.855  0.796  0.709
Pd  0.954  0.274  0.907
Pd  0.145  0.204  0.291
Pd  0.318  0.083  0.636
Pd  0.599  0.465  0.198
Pd  0.046  0.726  0.093

***

Result of the stability comparison: model B is the most stable of them.

***

Model A:
ZnAg3Pd: relaxed, GGA-PBE.

Lattice parameters (Å, degrees): 5.076 5.076 5.076 90.00 90.00 90.00
Fractional positions:
Zn  0.500  0.500  0.500
Pd  0.000  0.000  0.000
Ag  0.000  0.500  0.000
Ag  0.000  0.000  0.500
Ag  0.500  0.000  0.000

***

Model B:
ZnAg3Pd: relaxed, GGA-PBE.

Lattice parameters (Å, degrees): 4.745 4.745 4.745 90.00 90.00 90.00
Fractional positions:
Zn  0.000  0.000  0.000
Pd  0.500  0.500  0.500
Ag  0.000  0.500  0.000
Ag  0.000  0.000  0.500
Ag  0.500  0.000  0.000

***

Result of the stability comparison: model B is the most stable of them.

***

Model A:
ZnAgPd5: relaxed, GGA-PBE.

Lattice parameters (Å, degrees): 9.928 9.928 9.811 29.05 29.05 43.65
Fractional positions:
Zn  0.000  0.000  0.000
Zn  0.000  0.000  0.500
Ag  0.551  0.449  0.250
Ag  0.449  0.551  0.750
Pd  0.559  0.019  0.067
Pd  0.226  0.538  0.686
Pd  0.019  0.559  0.567
Pd  0.915  0.085  0.250
Pd  0.462  0.774  0.814
Pd  0.538  0.226  0.186
Pd  0.085  0.915  0.750
Pd  0.981  0.441  0.433
Pd  0.774  0.462  0.314
Pd  0.441  0.981  0.933

***

Model B:
ZnAgPd5: relaxed, GGA-PBE.

Lattice parameters (Å, degrees): 4.033 4.033 7.048 90.00 90.00 90.00
Fractional positions:
Zn  0.500  0.500  0.000
Ag  0.000  0.000  0.500
Pd  0.000  0.500  0.782
Pd  0.000  0.500  0.218
Pd  0.500  0.000  0.782
Pd  0.500  0.000  0.218
Pd  0.500  0.500  0.500

***

Result of the stability comparison: model A is the most stable of them.

***

Model A:
Zn6Ag2Pd: relaxed, GGA-PBE.

Lattice parameters (Å, degrees): 2.823 7.494 7.750 118.92 89.94 90.00
Fractional positions:
Zn  0.999  0.341  0.325
Zn  0.001  0.016  0.675
Zn  0.001  0.659  0.675
Zn  0.500  0.314  0.000
Zn  0.999  0.984  0.325
Zn  0.500  0.686  0.000
Ag  0.500  0.680  0.360
Ag  0.500  0.320  0.640
Pd  0.000  0.000  0.000

***

Model B:
Zn6Ag2Pd: relaxed, GGA-PBE.

Lattice parameters (Å, degrees): 2.827 7.590 7.590 119.97 90.00 90.00
Fractional positions:
Zn  0.500  0.358  0.358
Zn  0.500  0.642  0.000
Zn  0.500  0.000  0.642
Zn  0.000  0.706  0.706
Zn  0.000  0.294  0.000
Zn  0.000  0.000  0.294
Ag  0.000  0.667  0.334
Ag  0.000  0.334  0.667
Pd  0.500  0.000  0.000

***

Result of the stability comparison: model B is the most stable of them.

***

Model A:
ZnAg2Pd8: relaxed, GGA-PBE.

Lattice parameters (Å, degrees): 5.009 6.735 6.735 74.94 73.58 73.58
Fractional positions:
Zn  0.000  0.000  0.000
Ag  0.376  0.152  0.152
Ag  0.624  0.848  0.848
Pd  0.033  0.132  0.605
Pd  0.967  0.395  0.868
Pd  0.777  0.272  0.272
Pd  0.223  0.728  0.728
Pd  0.033  0.605  0.132
Pd  0.967  0.868  0.395
Pd  0.283  0.459  0.459
Pd  0.717  0.541  0.541

***

Model B:
ZnAg2Pd8: relaxed, GGA-PBE.

Lattice parameters (Å, degrees): 4.303 6.640 6.640 105.44 90.03 90.03
Fractional positions:
Zn  0.500  0.000  0.000
Ag  0.000  0.624  0.376
Ag  0.000  0.376  0.624
Pd  0.000  0.962  0.703
Pd  0.000  0.703  0.962
Pd  0.500  0.677  0.677
Pd  0.500  0.235  0.765
Pd  0.500  0.765  0.235
Pd  0.500  0.323  0.323
Pd  0.000  0.297  0.038
Pd  0.000  0.038  0.297

***

Result of the stability comparison: model B is the most stable of them.